# 1
KSm2CuS4 (GGA-PBE, optimized geometry); raw formation energy = -1.649 eV/atom; space group = No. 63; spin magnetization = 0.00 μB/f.u.; ρ = 4.560 g/cm3
1.0
2.015 -6.897 0.000
2.015 6.897 0.000
0.000 0.000 13.931
K Sm Cu S
2 4 2 8
direct
0.108 0.892 0.750
0.892 0.108 0.250
0.366 0.634 0.563
0.366 0.634 0.937
0.634 0.366 0.063
0.634 0.366 0.437
0.163 0.837 0.250
0.837 0.163 0.750
0.000 0.000 0.000
0.000 0.000 0.500
0.263 0.737 0.114
0.263 0.737 0.386
0.430 0.570 0.750
0.570 0.430 0.250
0.737 0.263 0.614
0.737 0.263 0.886


# 2
MnCoW2 (GGA-PBE, optimized geometry); ΔE to the lowest computed polymorph = 0.014 eV/atom; space group = No. 25; spin magnetization = 3.04 μB/f.u.; ρ = 14.387 g/cm3
1.0
3.090 0.000 0.000
0.000 3.103 0.000
0.000 0.000 5.795
Mn Co W
1 1 2
direct
0.000 0.000 0.000
0.500 0.500 0.759
0.000 0.000 0.525
0.500 0.500 0.239


# 3
Pm6CdGe2 (GGA-PBE, optimized geometry); ΔE to the lowest computed polymorph = 0.117 eV/atom; space group = No. 12; spin magnetization = 0.00 μB/f.u.; ρ = 7.162 g/cm3
1.0
5.820 -2.882 0.000
5.820 2.882 0.000
-5.614 0.000 7.795
Pm Cd Ge
6 1 2
direct
0.076 0.076 0.383
0.331 0.331 0.950
0.345 0.345 0.324
0.655 0.655 0.676
0.669 0.669 0.050
0.924 0.924 0.617
0.000 0.000 0.000
0.391 0.391 0.684
0.609 0.609 0.316


# 4
BaPrHg6 (GGA-PBE, optimized geometry); E_tot = -1.45 eV/atom; space group = No. 38; spin magnetization = 0.00 μB/f.u.; ρ = 10.870 g/cm3
1.0
5.226 0.000 0.000
0.000 3.528 6.138
0.000 -3.528 6.138
Ba Pr Hg
1 1 6
direct
0.000 0.000 0.000
0.500 0.323 0.323
0.000 0.489 0.489
0.000 0.502 0.993
0.000 0.993 0.502
0.500 0.364 0.809
0.500 0.809 0.364
0.500 0.817 0.817